Entry from Alexandria via LeMat-Bulk: TlVSbF6 after structural relaxation (PBE+U).

abc: 5.528 5.907 5.926
angles: 119.52 90.10 90.28
Space group P1 (No. 1)
Inequivalent atoms, fractional coordinates:
Tl1 0.000 0.000 0.000 (multiplicity 1)
V1 0.531 0.334 0.669 (multiplicity 1)
Sb1 0.470 0.668 0.334 (multiplicity 1)
F1 0.337 0.651 0.949 (multiplicity 1)
F2 0.340 0.298 0.348 (multiplicity 1)
F3 0.341 0.047 0.705 (multiplicity 1)
F4 0.713 0.438 0.037 (multiplicity 1)
F5 0.713 0.602 0.568 (multiplicity 1)
F6 0.713 0.971 0.403 (multiplicity 1)

Properties
density of states at the Fermi level = 0.00 states/eV/atom
total DFT energy (no corrections) = -46.04 eV for the cell shown
density = 4.84 g/cm3